1.
Here is an optimized crystal structure of Nd8TcSb2 from Alexandria via LeMat-Bulk. Energies are from GGA-PBE.

Calculated values
Calculated total energy ... -60.76 eV for the cell shown

Unit cell a=4.823 b=7.454 c=9.981 alpha=99.15 beta=103.98 gamma=90.00
Element x y z (fractional)
Nd: 0.006 0.779 0.013
Nd: 0.356 0.975 0.711
Tc: 0.500 0.000 0.000
Sb: 0.819 0.236 0.639
Sb: 0.181 0.764 0.361
Nd: 0.406 0.492 0.812
Nd: 0.217 0.345 0.433
Nd: 0.594 0.508 0.188
Nd: 0.783 0.655 0.567
Nd: 0.994 0.221 0.987
Nd: 0.644 0.025 0.289

---

2.
Here is an optimized crystal structure of NdTcSb3 from Alexandria via LeMat-Bulk. Energies are from GGA-PBE.

Calculated values
Calculated total energy ... -120.23 eV for the cell shown

Unit cell a=6.191 b=6.236 c=12.906 alpha=90.00 beta=90.00 gamma=90.00
Element x y z (fractional)
Sb: 0.750 0.899 0.059
Sb: 0.250 0.601 0.059
Sb: 0.500 0.750 0.501
Sb: 0.750 0.515 0.217
Sb: 0.000 0.250 0.499
Nd: 0.750 0.506 0.694
Tc: 0.500 0.750 0.899
Nd: 0.250 0.494 0.306
Nd: 0.750 0.006 0.306
Sb: 0.500 0.250 0.499
Sb: 0.750 0.399 0.941
Sb: 0.250 0.101 0.941
Sb: 0.250 0.485 0.783
Sb: 0.000 0.750 0.501
Tc: 0.500 0.250 0.101
Nd: 0.250 0.994 0.694
Tc: 0.000 0.750 0.899
Sb: 0.750 0.015 0.783
Sb: 0.250 0.985 0.217
Tc: 0.000 0.250 0.101

---

Number 1: density of states at the Fermi level 11.7 states/eV per cell, spin magnetization 0.00 Bohr magnetons per cell. Number 2: density of states at the Fermi level 11.7 states/eV per cell, spin magnetization 0.00 Bohr magnetons per cell.